No. 1
Below is a geometry-optimized Cs2SeBr structure, with properties calculated at the GGA-PBE level.

extended XYZ file:
```
16
Lattice="8.2304 0.0000 0.0000 0.0000 9.0739 0.0000 -8.0980 0.0000 9.0740" Properties=species:S:1:pos:R:3 pbc="T T T"
Cs 0.0296 2.1827 2.1692
Cs -4.0194 2.3543 6.7061
Cs -4.0002 6.7099 6.7140
Cs 0.0488 6.9010 2.1770
Cs 0.0836 2.1729 6.8969
Cs 4.1326 2.3641 2.3599
Cs 4.1518 6.7197 2.3678
Cs 0.1029 6.8912 6.9048
Se 2.8949 9.0699 0.0133
Se -1.1541 4.5410 4.5503
Se -2.7625 0.0040 9.0606
Se 1.2865 4.5329 4.5237
Br -1.9911 9.0722 4.5183
Br -6.0401 4.5387 9.0553
Br 2.1235 0.0017 4.5557
Br 6.1725 4.5353 0.0187
```

The calculation puts the raw formation energy at -1312 meV per atom. The calculation puts the energy relative to the lowest polymorph listed for this composition at 0.000 eV per atom. For the total energy, the calculation gives -3.03 eV/atom.

***

No. 2
Below is a geometry-optimized SrNpSn2O8 structure, with properties calculated at the GGA-PBE level.

extended XYZ file:
```
12
Lattice="3.5641 -3.6782 0.0000 3.5641 3.6782 0.0000 0.0000 0.0000 6.6881" Properties=species:S:1:pos:R:3 pbc="T T T"
Sr 0.0000 0.0000 0.0000
Np 0.0000 0.0000 3.3440
Sn 3.5641 0.0000 1.6717
Sn 3.5641 0.0000 5.0164
O 1.4364 0.0000 1.9464
O 1.4364 0.0000 4.7416
O 3.5641 1.3863 3.3440
O 3.5641 1.2761 0.0000
O 3.5641 -1.2761 0.0000
O 3.5641 -1.3863 3.3440
O 5.6919 0.0000 1.9464
O 5.6919 0.0000 4.7416
```

The calculation puts the raw formation energy at -2170 meV per atom. For the total energy, the calculation gives -7.36 eV/atom.

***

No. 3
Below is a geometry-optimized SmDy3Er2Bi6 structure, with properties calculated at the GGA-PBE level.

extended XYZ file:
```
12
Lattice="9.7611 -2.2399 0.0000 9.7611 2.2399 0.0000 -2.0487 0.0000 8.7236" Properties=species:S:1:pos:R:3 pbc="T T T"
Sm 0.0000 0.0000 0.0000
Dy -1.0243 0.0000 4.3618
Dy 6.1877 0.0000 1.4605
Dy 11.2858 0.0000 7.2631
Er 5.1321 0.0000 5.8145
Er 12.3414 0.0000 2.9091
Bi 2.0692 0.0000 5.0767
Bi 3.1142 0.0000 0.7470
Bi 8.2111 0.0000 6.5038
Bi 9.2624 0.0000 2.2198
Bi 14.3593 0.0000 7.9766
Bi 15.4043 0.0000 3.6469
```

For the total energy, the calculation gives -5.10 eV/atom.

***

No. 4
Below is a geometry-optimized AlCd2P structure, with properties calculated at the GGA-PBE level.

extended XYZ file:
```
4
Lattice="0.0000 3.4480 3.4480 3.4480 0.0000 3.4480 3.4480 3.4480 0.0000" Properties=species:S:1:pos:R:3 pbc="T T T"
Al 0.0000 0.0000 0.0000
Cd 1.7240 1.7240 1.7240
Cd 3.4480 3.4480 3.4480
P 5.1720 5.1720 5.1720
```

The calculation puts the energy relative to the lowest polymorph listed for this composition at 0.364 eV per atom. For the total energy, the calculation gives -2.42 eV/atom.

***

No. 5
Below is a geometry-optimized NaCaPrAl structure, with properties calculated at the GGA-PBE level.

extended XYZ file:
```
4
Lattice="0.0000 3.8834 3.8834 3.8834 0.0000 3.8834 3.8834 3.8834 0.0000" Properties=species:S:1:pos:R:3 pbc="T T T"
Na 0.0000 0.0000 0.0000
Ca 1.9417 1.9417 1.9417
Pr 5.8251 5.8251 5.8251
Al 3.8834 3.8834 3.8834
```

For the total energy, the calculation gives -3.03 eV/atom.

***

No. 6
Below is a geometry-optimized Y2CdGaCo structure, with properties calculated at the GGA-PBE level.

extended XYZ file:
```
5
Lattice="5.1470 0.0000 0.0000 0.0000 5.1470 0.0000 0.0000 0.0000 4.5783" Properties=species:S:1:pos:R:3 pbc="T T T"
Y 0.0000 2.5735 0.0000
Y 2.5735 0.0000 0.0000
Cd 0.0000 0.0000 2.2892
Ga 2.5735 2.5735 2.2892
Co 2.5735 2.5735 0.0000
```

For the total energy, the calculation gives -5.03 eV/atom.

***

No. 7
Below is a geometry-optimized SrLa2TlNi structure, with properties calculated at the GGA-PBE level.

extended XYZ file:
```
5
Lattice="5.5300 0.0000 0.0000 0.0000 5.5300 0.0000 0.0000 0.0000 5.2715" Properties=species:S:1:pos:R:3 pbc="T T T"
Sr 0.0000 0.0000 0.0000
La 0.0000 2.7650 2.6358
La 2.7650 0.0000 2.6358
Tl 2.7650 2.7650 0.0000
Ni 2.7650 2.7650 2.6358
```

The calculation puts the energy relative to the lowest polymorph listed for this composition at 0.044 eV per atom. For the total energy, the calculation gives -4.05 eV/atom.

***

No. 8
Below is a geometry-optimized MnAlCd2 structure, with properties calculated at the GGA-PBE level.

extended XYZ file:
```
4
Lattice="3.1066 0.0000 0.0000 0.0000 4.1381 0.0000 0.0000 0.0000 5.7688" Properties=species:S:1:pos:R:3 pbc="T T T"
Mn 0.0000 0.0000 0.0000
Al 0.0000 0.0000 2.8844
Cd 1.5533 2.0691 1.4150
Cd 1.5533 2.0691 4.3538
```

For the total energy, the calculation gives -3.47 eV/atom.